Entry 1:
Density functional theory data (PBE) for crystalline Hf3MnS6 at its relaxed geometry.

The structure belongs to space group R-3 (No. 148, hexagonal axes); the cell edges are 10.3487, 10.3487 and 13.0889 Å and the angles 90.00°, 90.00° and 120.00°. The distinct sites, in fractional coordinates, are Hf at (0.0420, 0.5929, 0.3738), Mn at (0.0000, 0.0000, 0.0000), Mn at (0.0000, 0.0000, 0.5000), S at (0.0010, 0.1975, 0.1126) and S at (0.0332, 0.8382, 0.3731).

---

Entry 2:
Density functional theory data (PBE) for crystalline HfMnS2 at its relaxed geometry.

The structure belongs to space group R-3m (No. 166, hexagonal axes); the cell edges are 3.5072, 3.5072 and 23.3105 Å and the angles 90.00°, 90.00° and 120.00°. The distinct sites, in fractional coordinates, are Hf at (0.0000, 0.0000, 0.0000), Mn at (0.0000, 0.0000, 0.5000) and S at (0.0000, 0.0000, 0.4000).

The calculation puts the energy above the most stable polymorph in this dataset at 0 meV/atom.

---

Entry 3:
Density functional theory data (PBE) for crystalline Hf3MnS at its relaxed geometry.

The structure belongs to space group Pm-3m (No. 221); the cell edges are 4.7297, 4.7297 and 4.7297 Å and the angles 90.00°, 90.00° and 90.00°. The distinct sites, in fractional coordinates, are Hf at (0.0000, 0.0000, 0.5000), Mn at (0.5000, 0.5000, 0.5000) and S at (0.0000, 0.0000, 0.0000).

The calculation puts the energy above the most stable polymorph in this dataset at 0 meV/atom.

---

Entry 4:
Density functional theory data (PBE) for crystalline Hf4Mn2S9 at its relaxed geometry.

The structure belongs to space group P-3c1 (No. 165); the cell edges are 6.3023, 6.3023 and 17.7182 Å and the angles 90.00°, 90.00° and 120.00°. The distinct sites, in fractional coordinates, are Hf at (0.3333, 0.6667, 0.0055), Hf at (0.3333, 0.6667, 0.3227), Mn at (0.0000, 0.0000, 0.1590), S at (0.0000, 0.3175, 0.2500) and S at (0.0109, 0.3478, 0.9154).

---

Entry 5:
Density functional theory data (PBE) for crystalline HfMn3S at its relaxed geometry.

The structure belongs to space group Pm-3m (No. 221); the cell edges are 4.7912, 4.7912 and 4.7912 Å and the angles 90.00°, 90.00° and 90.00°. The distinct sites, in fractional coordinates, are Hf at (0.0000, 0.0000, 0.0000), Mn at (0.0000, 0.0000, 0.5000) and S at (0.5000, 0.5000, 0.5000).

The calculation puts the energy above the most stable polymorph in this dataset at 1509 meV/atom.

---

Entry 6:
Density functional theory data (PBE) for crystalline HfMnS at its relaxed geometry.

The structure belongs to space group R-3m (No. 166, hexagonal axes); the cell edges are 3.6199, 3.6199 and 32.0974 Å and the angles 90.00°, 90.00° and 120.00°. The distinct sites, in fractional coordinates, are Hf at (0.0000, 0.0000, 0.0655), Mn at (0.0000, 0.0000, 0.3366) and S at (0.0000, 0.0000, 0.2234).

---

Entry 7:
Density functional theory data (PBE) for crystalline HfMnS2 at its relaxed geometry.

The structure belongs to space group Fm-3m (No. 225); the cell edges are 6.2530, 6.2530 and 6.2530 Å and the angles 90.00°, 90.00° and 90.00°. The distinct sites, in fractional coordinates, are Hf at (0.0000, 0.0000, 0.0000), Mn at (0.0000, 0.0000, 0.5000) and S at (0.2500, 0.2500, 0.2500).

The calculation puts the energy above the most stable polymorph in this dataset at 73 meV/atom.

---

Entry 8:
Density functional theory data (PBE) for crystalline Hf4MnS at its relaxed geometry.

The structure belongs to space group C2/m (No. 12); the cell edges are 12.5413, 3.2764 and 6.3352 Å and the angles 90.00°, 115.23° and 90.00°. The distinct sites, in fractional coordinates, are Hf at (0.1361, 0.0000, 0.3265), Hf at (0.1419, 0.5000, 0.8070), Mn at (0.0000, 0.0000, 0.5000) and S at (0.0000, 0.5000, 0.0000).

---

Entry 9:
Density functional theory data (PBE) for crystalline HfMnS2 at its relaxed geometry.

The structure belongs to space group R-3m (No. 166, hexagonal axes); the cell edges are 3.4098, 3.4098 and 23.1721 Å and the angles 90.00°, 90.00° and 120.00°. The distinct sites, in fractional coordinates, are Hf at (0.0000, 0.0000, 0.0000), Mn at (0.0000, 0.0000, 0.5000) and S at (0.0000, 0.0000, 0.1071).

The calculation puts the energy above the most stable polymorph in this dataset at 391 meV/atom.

---

Entry 10:
Density functional theory data (PBE) for crystalline HfMnS2 at its relaxed geometry.

The structure belongs to space group I-42d (No. 122); the cell edges are 4.8733, 4.8733 and 12.3344 Å and the angles 90.00°, 90.00° and 90.00°. The distinct sites, in fractional coordinates, are Hf at (0.0000, 0.0000, 0.0000), Mn at (0.0000, 0.0000, 0.5000) and S at (0.1994, 0.2500, 0.6250).

The calculation puts the energy above the most stable polymorph in this dataset at 242 meV/atom.

---

Entry 11:
Density functional theory data (PBE) for crystalline Hf3MnS at its relaxed geometry.

The structure belongs to space group Pm-3m (No. 221); the cell edges are 4.7732, 4.7732 and 4.7732 Å and the angles 90.00°, 90.00° and 90.00°. The distinct sites, in fractional coordinates, are Hf at (0.0000, 0.0000, 0.5000), Mn at (0.0000, 0.0000, 0.0000) and S at (0.5000, 0.5000, 0.5000).

The calculation puts the energy above the most stable polymorph in this dataset at 506 meV/atom.

---

Entry 12:
Density functional theory data (PBE) for crystalline HfMn3S6 at its relaxed geometry.

The structure belongs to space group R3 (No. 146, hexagonal axes); the cell edges are 6.2351, 6.2351 and 17.0630 Å and the angles 90.00°, 90.00° and 120.00°. The distinct sites, in fractional coordinates, are Hf at (0.0000, 0.0000, 0.0000), Mn at (0.0000, 0.0000, 0.3146), Mn at (0.0000, 0.0000, 0.5040), Mn at (0.0000, 0.0000, 0.8119), S at (0.0091, 0.3143, 0.4058) and S at (0.0095, 0.6514, 0.5708).

---

Number 1: uncorrected formation energy -1.21 eV/atom, uncorrected energy -7.5926 eV per atom. Number 2: uncorrected formation energy -0.82 eV/atom, uncorrected energy -7.6669 eV per atom. Number 3: uncorrected formation energy -0.14 eV/atom, uncorrected energy -8.7742 eV per atom. Number 4: uncorrected formation energy -1.24 eV/atom, uncorrected energy -7.5926 eV per atom. Number 5: uncorrected formation energy 1.51 eV/atom, uncorrected energy -6.8081 eV per atom. Number 6: uncorrected formation energy -0.76 eV/atom, uncorrected energy -8.5085 eV per atom. Number 7: uncorrected formation energy -0.75 eV/atom, uncorrected energy -7.5937 eV per atom. Number 8: uncorrected formation energy -0.28 eV/atom, uncorrected energy -9.1348 eV per atom. Number 9: uncorrected formation energy -0.43 eV/atom, uncorrected energy -7.2759 eV per atom. Number 10: uncorrected formation energy -0.58 eV/atom, uncorrected energy -7.4247 eV per atom. Number 11: uncorrected formation energy 0.36 eV/atom, uncorrected energy -8.2685 eV per atom. Number 12: uncorrected formation energy -0.79 eV/atom, uncorrected energy -7.0139 eV per atom.